No. 1
Crystalline H2OsSe at its relaxed geometry. Source: Alexandria via LeMat-Bulk, functional GGA-PBE.

Cell lengths 5.503, 5.503, 5.516 Å; angles 90.00, 90.00, 90.00 degrees
Space group I-42d (No. 122)
One atom of each set of equivalent atoms:
1 H 0.147 0.250 0.125 x8
2 Os 0.000 0.000 0.000 x4
3 Se 0.000 0.000 0.500 x4

- Relative energy among the computed polymorphs: 0 meV per atom
- DOS(E_F): 1.01 states/eV/f.u.



No. 2
Crystalline HOsSe at its relaxed geometry. Source: Alexandria via LeMat-Bulk, functional GGA-PBE.

Cell lengths 2.907, 4.162, 8.263 Å; angles 100.10, 91.04, 110.16 degrees
Space group P-1 (No. 2)
One atom of each set of equivalent atoms:
1 H 0.114 0.257 0.259 x2
2 Os 0.348 0.692 0.419 x2
3 Se 0.106 0.184 0.804 x2

- Electronic total energy: -0.2061 hartree per atom
- DOS(E_F): 1.09 states/eV/f.u.



No. 3
Crystalline H2OsSe4 at its relaxed geometry. Source: Alexandria via LeMat-Bulk, functional GGA-PBE.

Cell lengths 4.633, 4.633, 16.522 Å; angles 90.00, 90.00, 90.00 degrees
Space group I4/mmm (No. 139)
One atom of each set of equivalent atoms:
1 H 0.000 0.000 0.165 x4
2 Os 0.000 0.000 0.500 x2
3 Se 0.000 0.000 0.255 x4
4 Se 0.000 0.500 0.000 x4

- Electronic total energy: -0.1487 hartree per atom
- DOS(E_F): 4.99 states/eV/f.u.



No. 4
Crystalline SiHOs2Se at its relaxed geometry. Source: Alexandria via LeMat-Bulk, functional GGA-PBE.

Cell lengths 4.074, 4.074, 3.719 Å; angles 90.00, 90.00, 90.00 degrees
Space group P4/mmm (No. 123)
One atom of each set of equivalent atoms:
1 Si 0.000 0.000 0.000 x1
2 H 0.500 0.500 0.500 x1
3 Os 0.000 0.500 0.500 x2
4 Se 0.500 0.500 0.000 x1

- Electronic total energy: -0.2264 hartree per atom
- DOS(E_F): 3.07 states/eV/f.u.



No. 5
Crystalline TeHOs2Se at its relaxed geometry. Source: Alexandria via LeMat-Bulk, functional GGA-PBE.

Cell lengths 5.022, 5.022, 3.411 Å; angles 90.00, 90.00, 90.00 degrees
Space group P4/mmm (No. 123)
One atom of each set of equivalent atoms:
1 Te 0.000 0.000 0.000 x1
2 H 0.000 0.000 0.500 x1
3 Os 0.000 0.500 0.000 x2
4 Se 0.500 0.500 0.500 x1

- Electronic total energy: -0.1834 hartree per atom
- DOS(E_F): 4.41 states/eV/f.u.



No. 6
Crystalline V2HOsSe at its relaxed geometry. Source: Alexandria via LeMat-Bulk, functional GGA-PBE.

Cell lengths 3.666, 3.666, 4.490 Å; angles 90.00, 90.00, 90.00 degrees
Space group P4/mmm (No. 123)
One atom of each set of equivalent atoms:
1 V 0.000 0.500 0.000 x2
2 H 0.000 0.000 0.000 x1
3 Os 0.500 0.500 0.500 x1
4 Se 0.000 0.000 0.500 x1

- Electronic total energy: -0.2538 hartree per atom
- DOS(E_F): 5.05 states/eV/f.u.



No. 7
Crystalline SiH2Os at its relaxed geometry. Source: Alexandria via LeMat-Bulk, functional GGA-PBE.

Cell lengths 5.157, 5.157, 5.157 Å; angles 90.00, 90.00, 90.00 degrees
Space group Fm-3m (No. 225)
One atom of each set of equivalent atoms:
1 Si 0.000 0.000 0.000 x4
2 H 0.250 0.250 0.250 x8
3 Os 0.000 0.000 0.500 x4

- Relative energy among the computed polymorphs: 402 meV per atom
- DOS(E_F): 1.28 states/eV/f.u.



No. 8
Crystalline SiH2Os at its relaxed geometry. Source: Alexandria via LeMat-Bulk, functional GGA-PBE.

Cell lengths 3.474, 3.474, 13.292 Å; angles 90.00, 90.00, 90.00 degrees
Space group I4_1/amd (No. 141, origin choice 2)
One atom of each set of equivalent atoms:
1 Si 0.000 0.250 0.375 x4
2 H 0.000 0.000 0.000 x8
3 Os 0.000 0.250 0.875 x4

- Relative energy among the computed polymorphs: 0 meV per atom
- DOS(E_F): 2.21 states/eV/f.u.



No. 9
Crystalline SmSiHOs at its relaxed geometry. Source: Alexandria via LeMat-Bulk, functional GGA-PBE.

Cell lengths 4.128, 4.128, 7.355 Å; angles 90.00, 90.00, 90.00 degrees
Space group P4/nmm (No. 129, origin choice 2)
One atom of each set of equivalent atoms:
1 Sm 0.250 0.250 0.161 x2
2 Si 0.250 0.250 0.667 x2
3 H 0.250 0.750 0.000 x2
4 Os 0.250 0.750 0.500 x2

- Electronic total energy: -0.2511 hartree per atom
- DOS(E_F): 1.98 states/eV/f.u.



No. 10
Crystalline ThSiHOs at its relaxed geometry. Source: Alexandria via LeMat-Bulk, functional GGA-PBE.

Cell lengths 4.206, 4.206, 7.243 Å; angles 90.00, 90.00, 90.00 degrees
Space group P4/nmm (No. 129, origin choice 2)
One atom of each set of equivalent atoms:
1 Th 0.250 0.250 0.176 x2
2 Si 0.250 0.250 0.669 x2
3 H 0.250 0.750 0.000 x2
4 Os 0.250 0.750 0.500 x2

- Electronic total energy: -0.2776 hartree per atom
- DOS(E_F): 2.64 states/eV/f.u.



No. 11
Crystalline ThSiHOs2 at its relaxed geometry. Source: Alexandria via LeMat-Bulk, functional GGA-PBE.

Cell lengths 4.024, 11.045, 6.920 Å; angles 90.00, 90.00, 90.00 degrees
Space group Cmcm (No. 63)
One atom of each set of equivalent atoms:
1 Th 0.000 0.071 0.250 x4
2 Si 0.000 0.209 0.750 x4
3 H 0.000 0.500 0.000 x4
4 Os 0.000 0.336 0.052 x8

- Electronic total energy: -0.2960 hartree per atom
- DOS(E_F): 3.71 states/eV/f.u.



No. 12
Crystalline VSiHOs2 at its relaxed geometry. Source: Alexandria via LeMat-Bulk, functional GGA-PBE.

Cell lengths 4.609, 4.609, 3.051 Å; angles 90.00, 90.00, 90.00 degrees
Space group P4/mmm (No. 123)
One atom of each set of equivalent atoms:
1 V 0.000 0.000 0.000 x1
2 Si 0.500 0.500 0.500 x1
3 H 0.000 0.000 0.500 x1
4 Os 0.000 0.500 0.000 x2

- Electronic total energy: -0.2668 hartree per atom
- DOS(E_F): 3.21 states/eV/f.u.



Number 1: mass density 10.78 g cm⁻³. Number 2: mass density 9.75 g cm⁻³. Number 3: mass density 4.76 g cm⁻³. Number 4: mass density 13.14 g cm⁻³. Number 5: mass density 11.35 g cm⁻³. Number 6: mass density 10.24 g cm⁻³. Number 7: mass density 10.67 g cm⁻³. Number 8: mass density 9.12 g cm⁻³. Number 9: mass density 9.80 g cm⁻³. Number 10: mass density 11.70 g cm⁻³. Number 11: mass density 13.86 g cm⁻³. Number 12: mass density 11.80 g cm⁻³.